DFT (PBE) results for a geometry-optimized PrNd8Hg6 structure.

Results
Its formation enthalpy at 0 K is -3.73 eV/f.u. The value obtained for the density of states at the Fermi level is 1.34 states/eV per atom. Its space group is No. 148. The calculated volume comes out at 480.24 Å³/cell.

abc: 9.227 9.227 8.414
angles: 56.75 56.75 60.00
Last column: magnetic moment on the atom in μB.
Fractional positions:
Pr 0.000 0.000 0.000  0.14
Nd 0.553 0.217 0.345  0.18
Nd 0.783 0.116 0.655  0.18
Nd 0.116 0.447 0.655  0.18
Nd 0.667 0.667 0.999  0.11
Nd 0.333 0.333 0.001  0.11
Nd 0.884 0.553 0.345  0.18
Nd 0.217 0.884 0.345  0.18
Nd 0.447 0.783 0.655  0.18
Hg 0.389 0.054 0.838  0.01
Hg 0.946 0.281 0.162  0.01
Hg 0.281 0.611 0.162  0.01
Hg 0.719 0.389 0.838  0.01
Hg 0.054 0.719 0.838  0.01
Hg 0.611 0.946 0.162  0.01